UNbZn, optimized geometry, DFT GGA-PBE; formation energy from the elements = 1.83 eV/f.u.; VASP energy = -6.934 eV/atom
1.0
0.000 3.916 6.114
2.463 0.000 6.114
2.463 3.916 0.000
U Nb Zn
2 2 2
direct
0.250 0.250 0.250 U
0.750 0.750 0.750 U
0.106 0.106 0.894 Nb
0.894 0.894 0.106 Nb
0.334 0.666 0.334 Zn
0.666 0.334 0.666 Zn

CsIn2H, optimized geometry, DFT GGA-PBE; VASP energy = -1.700 eV/atom
1.0
0.000 4.089 4.089
4.089 0.000 4.089
4.089 4.089 0.000
Cs In H
1 2 1
direct
0.000 0.000 0.000 Cs
0.250 0.250 0.250 In
0.750 0.750 0.750 In
0.500 0.500 0.500 H

no.,polymorph energy (0 for the lowest one) (eV per atom)
1,0.499
2,0.651